Computed, not measured: a relaxed CrAsPt2 crystal at the PBE level of DFT.

## Properties
* M_tot: 3.25 μB per cell
* energy of formation: 2.5 kJ per mole of atoms
* mass density: 13.6 Mg/m³
* space group: F-43m
* DFT total energy: -6.56 eV/atom

Unit cell a=4.470 b=4.470 c=4.470 alpha=60.00 beta=60.00 gamma=60.00
Each line ends with the local moment (μB).
Atoms (fractional coordinates):
As 0.500 0.500 0.500  -0.02
Cr 0.750 0.750 0.750  3.03
Pt 0.000 0.000 0.000  -0.05
Pt 0.250 0.250 0.250  0.05